DFT (GGA-PBE) results for a geometry-optimized RbSmMnCl6 structure.

a = 6.5845 Å, b = 6.5845 Å, c = 14.9555 Å
α = 90.00°, β = 90.00°, γ = 120.00°
Closest atoms and distances in Å follow each position.
Element x y z (fractional)
Rb1 0.0000 0.0000 0.0000  6 Cl 3.33
Rb2 0.0000 0.0000 0.5000  6 Cl 3.33
Sm1 0.3333 0.6667 0.2500  6 Cl 2.72
Sm2 0.6667 0.3333 0.7500  6 Cl 2.72
Mn1 0.6667 0.3333 0.2500  6 Cl 2.39
Mn2 0.3333 0.6667 0.7500  6 Cl 2.39
Cl1 0.6545 0.6158 0.1535  1 Mn 2.39
Cl2 0.9612 0.3455 0.1535  1 Mn 2.39
Cl3 0.3455 0.9612 0.6535  1 Mn 2.39
Cl4 0.0388 0.6545 0.8465  1 Mn 2.39
Cl5 0.3842 0.3455 0.3465  1 Mn 2.39
Cl6 0.9612 0.6158 0.3465  1 Mn 2.39
Cl7 0.6158 0.9612 0.8465  1 Mn 2.39
Cl8 0.6545 0.0388 0.3465  1 Mn 2.39
Cl9 0.0388 0.3842 0.6535  1 Mn 2.39
Cl10 0.3842 0.0388 0.1535  1 Mn 2.39
Cl11 0.6158 0.6545 0.6535  1 Mn 2.39
Cl12 0.3455 0.3842 0.8465  1 Mn 2.39

Values from the calculation:
Its density of states at the Fermi level is 18.01 states/eV per cell. For the total magnetization, the calculation gives 0.9 μB per formula unit. The value obtained for the total energy is -4.451 eV/atom. The space-group type is P-31c.

=====

DFT (GGA-PBE) results for a geometry-optimized Na5B7C3 structure.

a = 12.7388 Å, b = 12.7388 Å, c = 8.5409 Å
α = 90.00°, β = 90.00°, γ = 167.05°
Closest atoms and distances in Å follow each position.
Element x y z (fractional)
Na1 0.1999 0.8001 0.9979  3 C 2.69-2.71, 9 B 2.70-2.85, 6 Na 2.87-2.91
Na2 0.1999 0.8001 0.5021  3 C 2.69-2.71, 9 B 2.70-2.85, 6 Na 2.87-2.91
Na3 0.4000 0.6000 0.9970  4 C 2.69-2.73, 8 B 2.69-2.75, 6 Na 2.87-2.91
Na4 0.4000 0.6000 0.5030  4 C 2.69-2.73, 8 B 2.69-2.75, 6 Na 2.87-2.91
Na5 0.9998 0.0002 0.9978  3 C 2.69-2.71, 9 B 2.70-2.76, 6 Na 2.87-2.91
Na6 0.9998 0.0002 0.5022  3 C 2.69-2.71, 9 B 2.70-2.76, 6 Na 2.87-2.91
Na7 0.5998 0.4002 0.9975  3 C 2.69-2.71, 9 B 2.69-2.77, 6 Na 2.87-2.91
Na8 0.5998 0.4002 0.5025  3 C 2.69-2.71, 9 B 2.69-2.77, 6 Na 2.87-2.91
Na9 0.8000 0.2000 0.9950  5 C 2.67-2.75, 7 B 2.68-2.74, 6 Na 2.87-2.91
Na10 0.8000 0.2000 0.5050  5 C 2.67-2.75, 7 B 2.68-2.74, 6 Na 2.87-2.91
B1 0.7340 0.2660 0.2500  3 B 1.65-1.75
B2 0.7333 0.2667 0.7500  3 C 1.67-1.68
B3 0.2735 0.7265 0.2500  1 C 1.54
B4 0.9316 0.0684 0.2500  3 B 1.67-1.72
B5 0.9336 0.0664 0.7500  3 C 1.66-1.69
B6 0.4651 0.5349 0.2500  3 B 1.67-1.74
B7 0.5337 0.4663 0.2500  3 B 1.63-1.74
B8 0.5336 0.4664 0.7500  3 C 1.66-1.69
B9 0.0641 0.9359 0.2500  3 B 1.63-1.69
B10 0.1309 0.8691 0.2500  3 B 1.69-1.73
B11 0.1335 0.8665 0.7500  3 C 1.67-1.69
B12 0.6688 0.3312 0.2500  3 B 1.65-1.73
B13 0.3334 0.6666 0.7500  3 C 1.67-1.69
B14 0.8638 0.1362 0.2500  2 C 1.62, 1 B 1.72
C1 0.2667 0.7333 0.7500  3 B 1.67-1.69
C2 0.4668 0.5332 0.7500  3 B 1.66-1.69
C3 0.0668 0.9332 0.7500  3 B 1.66-1.69
C4 0.6668 0.3332 0.7500  3 B 1.67-1.68
C5 0.3343 0.6657 0.2500  3 B 1.54-1.62
C6 0.8668 0.1332 0.7500  3 B 1.67-1.69

Values from the calculation:
Its density of states at the Fermi level is 6.47 states/eV per cell. The relative energy among the computed polymorphs comes out at 36 meV per atom. For the total magnetization, the calculation gives 0.0 μB per formula unit. The energy of formation is 149.3 meV/atom. The value obtained for the total energy is -5.251 eV/atom. The space-group type is Amm2.

=====

DFT (GGA-PBE) results for a geometry-optimized Al4CdO7 structure.

a = 7.8028 Å, b = 7.8028 Å, c = 5.4742 Å
α = 77.42°, β = 77.42°, γ = 70.03°
Closest atoms and distances in Å follow each position.
Element x y z (fractional)
Al1 0.9249 0.7585 0.3166  4 O 1.76-1.82
Al2 0.2415 0.0751 0.1834  4 O 1.76-1.82
Al3 0.0751 0.2415 0.6834  4 O 1.76-1.82
Al4 0.7585 0.9249 0.8166  4 O 1.76-1.82
Al5 0.3156 0.4394 0.2385  4 O 1.75-1.81
Al6 0.5606 0.6844 0.2615  4 O 1.75-1.81
Al7 0.6844 0.5606 0.7615  4 O 1.75-1.81
Al8 0.4394 0.3156 0.7385  4 O 1.75-1.81
Cd1 0.7904 0.2096 0.2500  5 O 2.28-2.35
Cd2 0.2096 0.7904 0.7500  5 O 2.28-2.35
O1 0.5282 0.4718 0.2500  2 Al 1.78
O2 0.4718 0.5282 0.7500  2 Al 1.78
O3 0.9496 0.8203 0.5965  2 Al 1.77-1.78
O4 0.1797 0.0504 0.9035  2 Al 1.77-1.78
O5 0.0504 0.1797 0.4035  2 Al 1.77-1.78
O6 0.8203 0.9496 0.0965  2 Al 1.77-1.78
O7 0.1336 0.6332 0.1504  2 Al 1.75-1.76
O8 0.3668 0.8664 0.3496  2 Al 1.75-1.76
O9 0.8664 0.3668 0.8496  2 Al 1.75-1.76
O10 0.6332 0.1336 0.6504  2 Al 1.75-1.76
O11 0.2513 0.3566 0.5707  3 Al 1.80-1.82
O12 0.6434 0.7487 0.9293  3 Al 1.80-1.82
O13 0.7487 0.6434 0.4293  3 Al 1.80-1.82
O14 0.3566 0.2513 0.0707  3 Al 1.80-1.82

Values from the calculation:
Its density of states at the Fermi level is 0.00 states/eV per cell. The relative energy among the computed polymorphs comes out at 0 meV per atom. For the total magnetization, the calculation gives 0.0 μB per formula unit. The value obtained for the total energy is -6.908 eV/atom. The space-group type is C2/c.

=====

DFT (GGA-PBE) results for a geometry-optimized MgGa2I8 structure.

a = 6.9721 Å, b = 8.7416 Å, c = 8.7416 Å
α = 81.14°, β = 85.52°, γ = 85.52°
Closest atoms and distances in Å follow each position.
Element x y z (fractional)
Mg1 0.0000 0.0000 0.0000  6 I 2.92-3.06
Ga1 0.6529 0.8018 0.8018  4 I 2.54-2.63
Ga2 0.3471 0.1982 0.1982  4 I 2.54-2.63
I1 0.2204 0.2755 0.9194  1 Ga 2.63, 1 Mg 2.92
I2 0.7796 0.0806 0.7245  1 Ga 2.63, 1 Mg 2.92
I3 0.2788 0.8063 0.8063  1 Ga 2.60
I4 0.7212 0.1937 0.1937  1 Ga 2.60
I5 0.2204 0.9194 0.2755  1 Ga 2.63, 1 Mg 2.92
I6 0.7796 0.7245 0.0806  1 Ga 2.63, 1 Mg 2.92
I7 0.7861 0.6167 0.6167  1 Ga 2.54
I8 0.2139 0.3833 0.3833  1 Ga 2.54

Values from the calculation:
Its density of states at the Fermi level is 0.00 states/eV per cell. For the total magnetization, the calculation gives 0.0 μB per formula unit. The value obtained for the total energy is -2.456 eV/atom. The space-group type is C2/m.

=====

DFT (GGA-PBE) results for a geometry-optimized Y2Zn5Cd structure.

a = 4.3178 Å, b = 8.4100 Å, c = 9.0940 Å
α = 90.00°, β = 90.00°, γ = 104.87°
Closest atoms and distances in Å follow each position.
Element x y z (fractional)
Y1 0.7991 0.5982 0.7500  13 Zn 3.09-3.42, 2 Cd 3.25
Y2 0.2009 0.4018 0.2500  13 Zn 3.09-3.42, 2 Cd 3.25
Y3 0.0000 0.0000 0.0000  6 Zn 3.21-3.29, 4 Cd 3.25
Y4 0.0000 0.0000 0.5000  6 Zn 3.21-3.29, 4 Cd 3.25
Zn1 0.1876 0.3753 0.8917  4 Zn 2.52-2.72
Zn2 0.8124 0.6247 0.1083  4 Zn 2.52-2.72
Zn3 0.1876 0.3753 0.6083  4 Zn 2.52-2.72
Zn4 0.8124 0.6247 0.3917  4 Zn 2.52-2.72
Zn5 0.3475 0.6950 0.9807  4 Zn 2.52-2.72, 1 Cd 2.66
Zn6 0.6525 0.3050 0.0193  4 Zn 2.52-2.72, 1 Cd 2.66
Zn7 0.3475 0.6950 0.5193  4 Zn 2.52-2.72, 1 Cd 2.66
Zn8 0.6525 0.3050 0.4807  4 Zn 2.52-2.72, 1 Cd 2.66
Zn9 0.6087 0.2174 0.7500  6 Zn 2.55-2.82, 1 Cd 2.61
Zn10 0.3913 0.7826 0.2500  6 Zn 2.55-2.82, 1 Cd 2.61
Cd1 0.4482 0.8964 0.7500  3 Zn 2.61-2.66
Cd2 0.5518 0.1036 0.2500  3 Zn 2.61-2.66

Values from the calculation:
Its density of states at the Fermi level is 10.17 states/eV per cell. For the total magnetization, the calculation gives 0.0 μB per formula unit. The energy of formation is -310.5 meV/atom. The value obtained for the total energy is -2.837 eV/atom. The space-group type is Cmcm.

=====

DFT (GGA-PBE) results for a geometry-optimized Zn12Pd5Au2 structure.

a = 5.4460 Å, b = 7.9178 Å, c = 8.4902 Å
α = 107.33°, β = 90.00°, γ = 110.12°
Closest atoms and distances in Å follow each position.
Element x y z (fractional)
Zn1 0.9129 0.8258 0.1771  3 Pd 2.63-2.85, 2 Au 2.66, 4 Zn 2.74-2.94
Zn2 0.0457 0.6069 0.8663  3 Pd 2.58-2.68, 3 Zn 2.64-2.81, 1 Au 2.78
Zn3 0.5612 0.6069 0.8663  3 Pd 2.58-2.68, 3 Zn 2.64-2.81, 1 Au 2.78
Zn4 0.1066 0.7032 0.4024  4 Pd 2.51-2.64, 5 Zn 2.67-2.78
Zn5 0.5966 0.7032 0.4024  4 Pd 2.51-2.64, 5 Zn 2.67-2.78
Zn6 0.4735 0.9470 0.6748  2 Pd 2.55-2.56, 2 Zn 2.78
Zn7 0.5265 0.0530 0.3252  2 Pd 2.55-2.56, 2 Zn 2.78
Zn8 0.8934 0.2968 0.5976  4 Pd 2.51-2.64, 5 Zn 2.67-2.78
Zn9 0.4034 0.2968 0.5976  4 Pd 2.51-2.64, 5 Zn 2.67-2.78
Zn10 0.9543 0.3931 0.1337  3 Pd 2.58-2.68, 3 Zn 2.64-2.81, 1 Au 2.78
Zn11 0.4388 0.3931 0.1337  3 Pd 2.58-2.68, 3 Zn 2.64-2.81, 1 Au 2.78
Zn12 0.0871 0.1742 0.8230  3 Pd 2.63-2.85, 2 Au 2.66, 4 Zn 2.74-2.94
Pd1 0.2940 0.5881 0.6071  7 Zn 2.54-2.58
Pd2 0.3539 0.7078 0.1357  9 Zn 2.56-2.85
Pd3 0.0000 0.0000 0.5000  6 Zn 2.51-2.63
Pd4 0.6461 0.2922 0.8643  9 Zn 2.56-2.85
Pd5 0.7060 0.4119 0.3929  7 Zn 2.54-2.58
Au1 0.7467 0.0000 0.0000  4 Zn 2.66-2.78, 2 Au 2.69-2.76
Au2 0.2533 0.0000 0.0000  4 Zn 2.66-2.78, 2 Au 2.69-2.76

Values from the calculation:
Its density of states at the Fermi level is 4.71 states/eV per cell. For the total magnetization, the calculation gives 0.0 μB per formula unit. The energy of formation is -190.8 meV/atom. The value obtained for the total energy is -2.707 eV/atom. The space-group type is C2/m.

=====

DFT (GGA-PBE) results for a geometry-optimized HfTi2NbAl structure.

a = 4.7909 Å, b = 7.7704 Å, c = 5.2571 Å
α = 111.97°, β = 90.00°, γ = 90.00°
Closest atoms and distances in Å follow each position.
Element x y z (fractional)
Hf1 0.2500 0.0982 0.9350  3 Nb 2.85-2.91, 3 Ti 2.88-3.06, 3 Al 2.99-3.02, 2 Hf 3.05
Hf2 0.7500 0.9018 0.0650  3 Nb 2.85-2.91, 3 Ti 2.88-3.06, 3 Al 2.99-3.02, 2 Hf 3.05
Ti1 0.7500 0.7102 0.4776  3 Al 2.85-2.87, 2 Hf 2.88-3.06, 3 Nb 2.89-3.00, 4 Ti 2.94-3.12
Ti2 0.2500 0.2898 0.5224  3 Al 2.85-2.87, 2 Hf 2.88-3.06, 3 Nb 2.89-3.00, 4 Ti 2.94-3.12
Ti3 0.7500 0.5012 0.8432  1 Nb 2.73, 1 Hf 2.89, 4 Al 2.90-2.96, 5 Ti 2.91-3.03
Ti4 0.2500 0.4988 0.1568  1 Nb 2.73, 1 Hf 2.89, 4 Al 2.90-2.96, 5 Ti 2.91-3.03
Nb1 0.2500 0.8771 0.3634  4 Ti 2.73-3.00, 3 Hf 2.85-2.91, 2 Al 2.95-3.00
Nb2 0.7500 0.1229 0.6366  4 Ti 2.73-3.00, 3 Hf 2.85-2.91, 2 Al 2.95-3.00
Al1 0.2500 0.6847 0.7626  7 Ti 2.85-2.96, 2 Nb 2.95-3.00, 3 Hf 2.99-3.02
Al2 0.7500 0.3153 0.2374  7 Ti 2.85-2.96, 2 Nb 2.95-3.00, 3 Hf 2.99-3.02

Values from the calculation:
Its density of states at the Fermi level is 10.62 states/eV per cell. For the total magnetization, the calculation gives 0.0 μB per formula unit. The energy of formation is -120.0 meV/atom. The value obtained for the total energy is -8.031 eV/atom. The space-group type is P2_1/m.

=====

DFT (GGA-PBE) results for a geometry-optimized Er5Ru4Pb structure.

a = 3.3928 Å, b = 3.3928 Å, c = 18.1852 Å
α = 90.00°, β = 90.00°, γ = 90.00°
Closest atoms and distances in Å follow each position.
Element x y z (fractional)
Er1 0.5000 0.5000 0.1332  4 Ru 2.87
Er2 0.5000 0.5000 0.3166  8 Ru 2.91-2.97
Er3 0.5000 0.5000 0.5000  8 Ru 2.93
Er4 0.5000 0.5000 0.6834  8 Ru 2.91-2.97
Er5 0.5000 0.5000 0.8668  4 Ru 2.87
Ru1 0.0000 0.0000 0.2199  8 Er 2.87-2.97
Ru2 0.0000 0.0000 0.4074  8 Er 2.91-2.93
Ru3 0.0000 0.0000 0.5926  8 Er 2.91-2.93
Ru4 0.0000 0.0000 0.7801  8 Er 2.87-2.97
Pb1 0.0000 0.0000 0.0000  4 Pb 3.39, 8 Er 3.41

Values from the calculation:
Its density of states at the Fermi level is 6.22 states/eV per cell. For the total magnetization, the calculation gives 0.0 μB per formula unit. The energy of formation is -435.9 meV/atom. The value obtained for the total energy is -6.799 eV/atom. The space-group type is P4/mmm.

=====

DFT (GGA-PBE) results for a geometry-optimized LiFe2CBr structure.

a = 4.1817 Å, b = 4.1817 Å, c = 3.3965 Å
α = 90.00°, β = 90.00°, γ = 90.00°
Closest atoms and distances in Å follow each position.
Element x y z (fractional)
C1 0.0000 0.0000 0.5000  2 Li 1.70
Fe1 0.0000 0.5000 0.0000  2 Li 2.09
Fe2 0.5000 0.0000 0.0000  2 Li 2.09
Br1 0.5000 0.5000 0.5000  8 Fe 2.69, 4 C 2.96
Li1 0.0000 0.0000 0.0000  2 C 1.70

Values from the calculation:
Its density of states at the Fermi level is 6.33 states/eV per cell. For the total magnetization, the calculation gives 0.0 μB per formula unit. The value obtained for the total energy is -4.062 eV/atom. The space-group type is P4/mmm.

=====

DFT (GGA-PBE) results for a geometry-optimized La5Pm4Sc structure.

a = 3.6170 Å, b = 11.5805 Å, c = 12.0918 Å
α = 135.37°, β = 98.60°, γ = 90.00°
Closest atoms and distances in Å follow each position.
Element x y z (fractional)
La1 0.2042 0.3012 0.4085  3 Pm 3.50-3.69, 6 La 3.62-3.86, 2 Sc 3.84
La2 0.1909 0.7960 0.3818  4 Pm 3.40-3.68, 6 La 3.62-3.79
La3 0.8091 0.2040 0.6182  4 Pm 3.40-3.68, 6 La 3.62-3.79
La4 0.5000 0.5000 0.0000  6 Pm 3.48-3.73, 6 La 3.62-3.65
La5 0.7958 0.6988 0.5915  3 Pm 3.50-3.69, 6 La 3.62-3.86, 2 Sc 3.84
Pm1 0.6045 0.9154 0.2091  1 Sc 3.28, 2 La 3.40-3.48, 4 Pm 3.58-3.62
Pm2 0.0817 0.3649 0.1635  4 La 3.50-3.73, 4 Pm 3.58-3.62, 2 Sc 3.61
Pm3 0.3955 0.0846 0.7909  1 Sc 3.28, 2 La 3.40-3.48, 4 Pm 3.58-3.62
Pm4 0.9183 0.6351 0.8365  4 La 3.50-3.73, 4 Pm 3.58-3.62, 2 Sc 3.61
Sc1 0.5000 0.0000 0.0000  6 Pm 3.28-3.61, 2 Sc 3.62

Values from the calculation:
Its density of states at the Fermi level is 15.53 states/eV per cell. The relative energy among the computed polymorphs comes out at 27 meV per atom. For the total magnetization, the calculation gives 0.0 μB per formula unit. The energy of formation is 55.1 meV/atom. The value obtained for the total energy is -4.942 eV/atom. The space-group type is C2/m.